(1)
The following is a DFT calculation (GGA-PBE) of a relaxed La3Tm4Se8 crystal.

```
data_La3Tm4Se8
_chemical_formula_sum 'La3 Tm4 Se8'
_cell_length_a 8.2375
_cell_length_b 8.3061
_cell_length_c 8.3061
_cell_angle_alpha 90.07
_cell_angle_beta 119.65
_cell_angle_gamma 119.65
_symmetry_space_group_name_H-M 'P 1'
_symmetry_Int_Tables_number 1
loop_
_symmetry_equiv_pos_as_xyz
'x,y,z'
loop_
_atom_site_label
_atom_site_fract_x
_atom_site_fract_y
_atom_site_fract_z
Se1 0.4877 0.2357 0.2357
Se2 0.5123 0.7643 0.7643
Se3 0.5000 0.2420 0.7580
Se4 0.9850 0.2395 0.2395
Se5 0.5000 0.7580 0.2420
Se6 0.0000 0.2453 0.7547
Se7 0.0150 0.7605 0.7605
Se8 0.0000 0.7547 0.2453
La1 0.5000 0.5000 0.5000
La2 0.5000 0.0000 0.5000
La3 0.5000 0.5000 0.0000
Tm1 0.0000 0.0000 0.5000
Tm2 0.0000 0.0000 0.0000
Tm3 0.0000 0.5000 0.0000
Tm4 0.5000 0.0000 0.0000
```

Computed properties:
formation energy (no corrections): -1.845 eV/atom
volume: 406 Å³ per cell

(2)
The following is a DFT calculation (GGA-PBE) of a relaxed TbCe2HgC crystal.

```
data_TbCe2HgC
_chemical_formula_sum 'Tb1 Ce2 Hg1 C1'
_cell_length_a 4.9257
_cell_length_b 4.9257
_cell_length_c 4.9892
_cell_angle_alpha 90.00
_cell_angle_beta 90.00
_cell_angle_gamma 90.00
_symmetry_space_group_name_H-M 'P 1'
_symmetry_Int_Tables_number 1
loop_
_symmetry_equiv_pos_as_xyz
'x,y,z'
loop_
_atom_site_label
_atom_site_fract_x
_atom_site_fract_y
_atom_site_fract_z
C1 0.0000 0.0000 0.9999
Ce1 0.5000 0.0000 0.9998
Ce2 0.0000 0.5000 0.0001
Tb1 0.0000 0.0000 0.4999
Hg1 0.5000 0.5000 0.5003
```

Computed properties:
final energy: -5.469 eV/atom
volume: 121 Å³ per cell

(3)
The following is a DFT calculation (GGA-PBE) of a relaxed LiSnH2 crystal.

```
data_LiSnH2
_chemical_formula_sum 'Li2 Sn2 H4'
_cell_length_a 4.7290
_cell_length_b 4.7290
_cell_length_c 5.7226
_cell_angle_alpha 65.60
_cell_angle_beta 65.60
_cell_angle_gamma 90.00
_symmetry_space_group_name_H-M 'P 1'
_symmetry_Int_Tables_number 1
loop_
_symmetry_equiv_pos_as_xyz
'x,y,z'
loop_
_atom_site_label
_atom_site_fract_x
_atom_site_fract_y
_atom_site_fract_z
Sn1 0.7500 0.2500 0.5000
Sn2 0.0000 0.0000 0.0000
H1 0.5245 0.1250 0.2500
H2 0.2255 0.6250 0.2500
H3 0.3750 0.4755 0.7500
H4 0.8750 0.7745 0.7500
Li1 0.2500 0.7500 0.5000
Li2 0.5000 0.5000 0.0000
```

Computed properties:
distance to the lowest polymorph of the same formula: 0.006 eV/atom
volume: 104 Å³ per cell

(4)
The following is a DFT calculation (GGA-PBE) of a relaxed DyCdSi2Pd5 crystal.

```
data_DyCdSi2Pd5
_chemical_formula_sum 'Dy1 Cd1 Si2 Pd5'
_cell_length_a 4.1816
_cell_length_b 4.1816
_cell_length_c 8.7860
_cell_angle_alpha 90.00
_cell_angle_beta 90.00
_cell_angle_gamma 90.00
_symmetry_space_group_name_H-M 'P 1'
_symmetry_Int_Tables_number 1
loop_
_symmetry_equiv_pos_as_xyz
'x,y,z'
loop_
_atom_site_label
_atom_site_fract_x
_atom_site_fract_y
_atom_site_fract_z
Si1 0.5000 0.5000 0.1303
Si2 0.5000 0.5000 0.8697
Pd1 0.5000 0.0000 0.2623
Pd2 0.0000 0.5000 0.2623
Pd3 0.5000 0.5000 0.5000
Pd4 0.0000 0.5000 0.7377
Pd5 0.5000 0.0000 0.7377
Cd1 0.0000 0.0000 0.0000
Dy1 0.0000 0.0000 0.5000
```

Computed properties:
formation energy (no corrections): -0.663 eV/atom
volume: 154 Å³ per cell

(5)
The following is a DFT calculation (GGA-PBE) of a relaxed LaPRu2 crystal.

```
data_LaPRu2
_chemical_formula_sum 'La1 P1 Ru2'
_cell_length_a 4.6838
_cell_length_b 4.6838
_cell_length_c 4.6838
_cell_angle_alpha 60.00
_cell_angle_beta 60.00
_cell_angle_gamma 60.00
_symmetry_space_group_name_H-M 'P 1'
_symmetry_Int_Tables_number 1
loop_
_symmetry_equiv_pos_as_xyz
'x,y,z'
loop_
_atom_site_label
_atom_site_fract_x
_atom_site_fract_y
_atom_site_fract_z
P1 0.2500 0.2500 0.2500
Ru1 0.7500 0.7500 0.7500
Ru2 0.0000 0.0000 0.0000
La1 0.5000 0.5000 0.5000
```

Computed properties:
final energy: -6.991 eV/atom
volume: 73 Å³ per cell

(6)
The following is a DFT calculation (GGA-PBE) of a relaxed SrPuCl4 crystal.

```
data_SrPuCl4
_chemical_formula_sum 'Sr2 Pu2 Cl8'
_cell_length_a 6.6667
_cell_length_b 7.7503
_cell_length_c 7.9895
_cell_angle_alpha 113.75
_cell_angle_beta 108.75
_cell_angle_gamma 101.38
_symmetry_space_group_name_H-M 'P 1'
_symmetry_Int_Tables_number 1
loop_
_symmetry_equiv_pos_as_xyz
'x,y,z'
loop_
_atom_site_label
_atom_site_fract_x
_atom_site_fract_y
_atom_site_fract_z
Cl1 0.3679 0.9444 0.6497
Cl2 0.9954 0.7544 0.1155
Cl3 0.0046 0.2456 0.8845
Cl4 0.3798 0.6389 0.8845
Cl5 0.7818 0.7053 0.6497
Cl6 0.6321 0.0556 0.3503
Cl7 0.2182 0.2947 0.3503
Cl8 0.6202 0.3611 0.1155
Pu1 0.2454 0.9954 0.9908
Pu2 0.7546 0.0046 0.0092
Sr1 0.3870 0.6370 0.2739
Sr2 0.6130 0.3630 0.7261
```

Computed properties:
distance to the lowest polymorph of the same formula: 0.000 eV/atom
formation energy (no corrections): -2.115 eV/atom
volume: 331 Å³ per cell

(7)
The following is a DFT calculation (GGA-PBE) of a relaxed Ce2GaAg2 crystal.

```
data_Ce2GaAg2
_chemical_formula_sum 'Ce4 Ga2 Ag4'
_cell_length_a 4.5069
_cell_length_b 5.8843
_cell_length_c 9.9739
_cell_angle_alpha 97.19
_cell_angle_beta 76.94
_cell_angle_gamma 67.48
_symmetry_space_group_name_H-M 'P 1'
_symmetry_Int_Tables_number 1
loop_
_symmetry_equiv_pos_as_xyz
'x,y,z'
loop_
_atom_site_label
_atom_site_fract_x
_atom_site_fract_y
_atom_site_fract_z
Ga1 0.5015 0.2668 0.7302
Ga2 0.4985 0.7332 0.2698
Ce1 0.8567 0.3308 0.9558
Ce2 0.1433 0.6692 0.0442
Ce3 0.7122 0.1913 0.3842
Ce4 0.2878 0.8087 0.6158
Ag1 0.9861 0.4032 0.6247
Ag2 0.6393 0.8655 0.8559
Ag3 0.3607 0.1345 0.1441
Ag4 0.0139 0.5968 0.3753
```

Computed properties:
final energy: -4.375 eV/atom
volume: 231 Å³ per cell

(8)
The following is a DFT calculation (GGA-PBE) of a relaxed PtIBr3 crystal.

```
data_PtIBr3
_chemical_formula_sum 'Pt1 I1 Br3'
_cell_length_a 5.1943
_cell_length_b 5.1943
_cell_length_c 5.1943
_cell_angle_alpha 90.00
_cell_angle_beta 90.00
_cell_angle_gamma 90.00
_symmetry_space_group_name_H-M 'P 1'
_symmetry_Int_Tables_number 1
loop_
_symmetry_equiv_pos_as_xyz
'x,y,z'
loop_
_atom_site_label
_atom_site_fract_x
_atom_site_fract_y
_atom_site_fract_z
I1 0.5000 0.5000 0.5000
Br1 0.0000 0.5000 0.0000
Br2 0.5000 0.0000 0.0000
Br3 0.0000 0.0000 0.5000
Pt1 0.0000 0.0000 0.0000
```

Computed properties:
distance to the lowest polymorph of the same formula: 0.373 eV/atom
formation energy (no corrections): 0.180 eV/atom
volume: 140 Å³ per cell

(9)
The following is a DFT calculation (GGA-PBE) of a relaxed Mn2ZnSe crystal.

```
data_Mn2ZnSe
_chemical_formula_sum 'Mn2 Zn1 Se1'
_cell_length_a 2.8528
_cell_length_b 2.8528
_cell_length_c 7.6013
_cell_angle_alpha 90.00
_cell_angle_beta 90.00
_cell_angle_gamma 90.00
_symmetry_space_group_name_H-M 'P 1'
_symmetry_Int_Tables_number 1
loop_
_symmetry_equiv_pos_as_xyz
'x,y,z'
loop_
_atom_site_label
_atom_site_fract_x
_atom_site_fract_y
_atom_site_fract_z
Mn1 0.5000 0.5000 0.2370
Mn2 0.0000 0.0000 0.0275
Zn1 0.5000 0.5000 0.8213
Se1 0.0000 0.0000 0.4142
```

Computed properties:
distance to the lowest polymorph of the same formula: 0.038 eV/atom
formation energy (no corrections): 0.103 eV/atom
volume: 62 Å³ per cell

(10)
The following is a DFT calculation (GGA-PBE) of a relaxed Sm3InNi8 crystal.

```
data_Sm3InNi8
_chemical_formula_sum 'Sm3 In1 Ni8'
_cell_length_a 5.0763
_cell_length_b 5.0763
_cell_length_c 8.8379
_cell_angle_alpha 73.31
_cell_angle_beta 73.31
_cell_angle_gamma 60.00
_symmetry_space_group_name_H-M 'P 1'
_symmetry_Int_Tables_number 1
loop_
_symmetry_equiv_pos_as_xyz
'x,y,z'
loop_
_atom_site_label
_atom_site_fract_x
_atom_site_fract_y
_atom_site_fract_z
Ni1 0.9375 0.9375 0.6851
Ni2 0.1880 0.1880 0.4361
Ni3 0.4361 0.9388 0.1891
Ni4 0.9375 0.4400 0.6851
Ni5 0.4400 0.9375 0.6851
Ni6 0.6880 0.6880 0.9360
Ni7 0.4361 0.4361 0.1891
Ni8 0.9388 0.4361 0.1891
Sm1 0.9954 0.9954 0.0138
Sm2 0.3764 0.3764 0.8708
Sm3 0.5037 0.5037 0.4890
In1 0.8727 0.8727 0.3819
```

Computed properties:
final energy: -5.616 eV/atom
volume: 186 Å³ per cell

(11)
The following is a DFT calculation (GGA-PBE) of a relaxed LiTlHg2Sb crystal.

```
data_LiTlHg2Sb
_chemical_formula_sum 'Li1 Tl1 Hg2 Sb1'
_cell_length_a 5.1692
_cell_length_b 5.1692
_cell_length_c 5.1969
_cell_angle_alpha 90.00
_cell_angle_beta 90.00
_cell_angle_gamma 90.00
_symmetry_space_group_name_H-M 'P 1'
_symmetry_Int_Tables_number 1
loop_
_symmetry_equiv_pos_as_xyz
'x,y,z'
loop_
_atom_site_label
_atom_site_fract_x
_atom_site_fract_y
_atom_site_fract_z
Li1 0.0000 0.0000 0.0000
Hg1 0.5000 0.0000 0.0000
Hg2 0.0000 0.5000 0.0000
Sb1 0.0000 0.0000 0.5000
Tl1 0.5000 0.5000 0.5000
```

Computed properties:
distance to the lowest polymorph of the same formula: 0.122 eV/atom
formation energy (no corrections): 0.019 eV/atom
volume: 139 Å³ per cell

(12)
The following is a DFT calculation (GGA-PBE) of a relaxed Na2Sr2In crystal.

```
data_Na2Sr2In
_chemical_formula_sum 'Na2 Sr2 In1'
_cell_length_a 4.1579
_cell_length_b 4.1579
_cell_length_c 11.6266
_cell_angle_alpha 100.30
_cell_angle_beta 100.30
_cell_angle_gamma 90.00
_symmetry_space_group_name_H-M 'P 1'
_symmetry_Int_Tables_number 1
loop_
_symmetry_equiv_pos_as_xyz
'x,y,z'
loop_
_atom_site_label
_atom_site_fract_x
_atom_site_fract_y
_atom_site_fract_z
Na1 0.2053 0.2053 0.4105
Na2 0.7947 0.7947 0.5895
Sr1 0.5851 0.5851 0.1702
Sr2 0.4149 0.4149 0.8298
In1 0.0000 0.0000 0.0000
```

Computed properties:
distance to the lowest polymorph of the same formula: 0.000 eV/atom
volume: 194 Å³ per cell